Record 1
VASP calculation (PBE) on crystalline Tm3Pu2ScTe6 at its relaxed geometry.

Unit cell a=9.677 b=9.677 c=8.689 alpha=103.42 beta=103.42 gamma=25.70
Atoms (fractional coordinates):
Tm: 0.000 0.000 0.000
Tm: 0.329 0.329 0.665
Tm: 0.671 0.671 0.335
Pu: 0.335 0.335 0.169
Pu: 0.665 0.665 0.831
Sc: 0.000 0.000 0.500
Te: 0.162 0.162 0.574
Te: 0.165 0.165 0.088
Te: 0.495 0.495 0.742
Te: 0.505 0.505 0.258
Te: 0.835 0.835 0.912
Te: 0.838 0.838 0.426

Values from the calculation:
- total DFT energy (no corrections) (eV/atom) = -6.758
- raw formation energy (kJ/mol of formula units) = -1335


Record 2
VASP calculation (PBE) on crystalline Pm2NdAg6 at its relaxed geometry.

Unit cell a=8.667 b=8.667 c=8.667 alpha=155.97 beta=124.68 gamma=61.16
Atoms (fractional coordinates):
Pm: 0.142 0.142 0.000
Pm: 0.858 0.858 0.000
Nd: 0.500 0.000 0.500
Ag: 0.146 0.325 0.821
Ag: 0.180 0.500 0.680
Ag: 0.496 0.675 0.821
Ag: 0.504 0.325 0.179
Ag: 0.820 0.500 0.320
Ag: 0.854 0.675 0.179

Values from the calculation:
- total DFT energy (no corrections) (eV/atom) = -3.674
- energy of formation from the pure elements (eV/f.u.) = -1.69
- ΔE to the lowest computed polymorph (meV/atom) = 71.0


Record 3
VASP calculation (PBE) on crystalline YZn12Pd6 at its relaxed geometry.

Unit cell a=7.169 b=7.169 c=7.169 alpha=105.28 beta=105.28 gamma=105.28
Atoms (fractional coordinates):
Y: 0.000 0.000 0.000
Zn: 0.111 0.500 0.889
Zn: 0.111 0.889 0.500
Zn: 0.136 0.384 0.384
Zn: 0.384 0.136 0.384
Zn: 0.384 0.384 0.136
Zn: 0.500 0.111 0.889
Zn: 0.500 0.889 0.111
Zn: 0.616 0.616 0.864
Zn: 0.616 0.864 0.616
Zn: 0.864 0.616 0.616
Zn: 0.889 0.111 0.500
Zn: 0.889 0.500 0.111
Pd: 0.284 0.284 0.709
Pd: 0.284 0.709 0.284
Pd: 0.291 0.716 0.716
Pd: 0.709 0.284 0.284
Pd: 0.716 0.291 0.716
Pd: 0.716 0.716 0.291

Values from the calculation:
- total DFT energy (no corrections) (eV/atom) = -3.100
- energy of formation from the pure elements (eV/f.u.) = -6.00


Record 4
VASP calculation (PBE) on crystalline HoZrPa2N6 at its relaxed geometry.

Unit cell a=6.008 b=6.008 c=6.008 alpha=58.31 beta=58.31 gamma=58.31
Atoms (fractional coordinates):
Ho: 0.000 0.000 0.000
Zr: 0.494 0.494 0.494
Pa: 0.275 0.275 0.275
Pa: 0.777 0.777 0.777
N: 0.094 0.657 0.399
N: 0.182 0.587 0.872
N: 0.399 0.094 0.657
N: 0.587 0.872 0.182
N: 0.657 0.399 0.094
N: 0.872 0.182 0.587

Values from the calculation:
- total DFT energy (no corrections) (eV/atom) = -9.641
- raw formation energy (kJ/mol of formula units) = -1383


Record 5
VASP calculation (PBE) on crystalline Be2NiAs at its relaxed geometry.

Unit cell a=2.766 b=2.766 c=6.129 alpha=90.00 beta=90.00 gamma=90.00
Atoms (fractional coordinates):
Be: 0.000 0.000 0.181
Be: 0.000 0.000 0.819
Ni: 0.500 0.500 0.000
As: 0.500 0.500 0.500

Values from the calculation:
- total DFT energy (no corrections) (eV/atom) = -4.409
- energy of formation from the pure elements (eV/f.u.) = 0.25


Record 6
VASP calculation (PBE) on crystalline TbTh4As6 at its relaxed geometry.

Unit cell a=8.294 b=8.294 c=8.294 alpha=89.73 beta=89.73 gamma=89.73
Atoms (fractional coordinates):
Tb: 0.000 0.000 0.000
Tb: 0.500 0.500 0.500
Th: 0.134 0.750 0.366
Th: 0.250 0.250 0.250
Th: 0.250 0.634 0.866
Th: 0.366 0.134 0.750
Th: 0.634 0.866 0.250
Th: 0.750 0.366 0.134
Th: 0.750 0.750 0.750
Th: 0.866 0.250 0.634
As: 0.064 0.916 0.677
As: 0.084 0.323 0.936
As: 0.177 0.416 0.564
As: 0.323 0.936 0.084
As: 0.416 0.564 0.177
As: 0.436 0.823 0.584
As: 0.564 0.177 0.416
As: 0.584 0.436 0.823
As: 0.677 0.064 0.916
As: 0.823 0.584 0.436
As: 0.916 0.677 0.064
As: 0.936 0.084 0.323

Values from the calculation:
- total DFT energy (no corrections) (eV/atom) = -6.870
- energy of formation from the pure elements (eV/f.u.) = -13.36


Record 7
VASP calculation (PBE) on crystalline Sc4GaCu2Tc at its relaxed geometry.

Unit cell a=8.063 b=8.063 c=8.063 alpha=33.44 beta=33.44 gamma=33.44
Atoms (fractional coordinates):
Sc: 0.120 0.120 0.120
Sc: 0.371 0.371 0.371
Sc: 0.629 0.629 0.629
Sc: 0.880 0.880 0.880
Ga: 0.500 0.500 0.500
Cu: 0.250 0.250 0.250
Cu: 0.750 0.750 0.750
Tc: 0.000 0.000 0.000

Values from the calculation:
- total DFT energy (no corrections) (eV/atom) = -6.241
- energy of formation from the pure elements (eV/f.u.) = -3.01


Record 8
VASP calculation (PBE) on crystalline CaTcBr3 at its relaxed geometry.

Unit cell a=5.632 b=5.632 c=5.632 alpha=90.00 beta=90.00 gamma=90.00
Atoms (fractional coordinates):
Ca: 0.000 0.000 0.000
Tc: 0.500 0.500 0.500
Br: 0.000 0.000 0.500
Br: 0.000 0.500 0.000
Br: 0.500 0.000 0.000

Values from the calculation:
- total DFT energy (no corrections) (eV/atom) = -3.721
- raw formation energy (kJ/mol of formula units) = -118
- ΔE to the lowest computed polymorph (meV/atom) = 67.7


Record 9
VASP calculation (PBE) on crystalline NaHgBiF6 at its relaxed geometry.

Unit cell a=6.169 b=6.169 c=9.279 alpha=90.00 beta=90.00 gamma=120.00
Atoms (fractional coordinates):
Na: 0.000 0.000 0.000
Na: 0.000 0.000 0.500
Hg: 0.333 0.667 0.250
Hg: 0.667 0.333 0.750
Bi: 0.333 0.667 0.750
Bi: 0.667 0.333 0.250
F: 0.008 0.346 0.628
F: 0.008 0.662 0.872
F: 0.338 0.346 0.872
F: 0.338 0.992 0.628
F: 0.346 0.008 0.128
F: 0.346 0.338 0.372
F: 0.654 0.662 0.628
F: 0.654 0.992 0.872
F: 0.662 0.008 0.372
F: 0.662 0.654 0.128
F: 0.992 0.338 0.128
F: 0.992 0.654 0.372

Values from the calculation:
- total DFT energy (no corrections) (eV/atom) = -4.011
- raw formation energy (kJ/mol of formula units) = -1869


Record 10
VASP calculation (PBE) on crystalline CeZn4Ag at its relaxed geometry.

Unit cell a=9.440 b=5.007 c=6.438 alpha=90.00 beta=117.02 gamma=90.00
Atoms (fractional coordinates):
Ce: 0.000 0.000 0.000
Ce: 0.500 0.500 0.000
Zn: 0.206 0.500 0.083
Zn: 0.250 0.250 0.500
Zn: 0.250 0.750 0.500
Zn: 0.294 0.000 0.917
Zn: 0.706 0.000 0.083
Zn: 0.750 0.250 0.500
Zn: 0.750 0.750 0.500
Zn: 0.794 0.500 0.917
Ag: 0.000 0.000 0.500
Ag: 0.500 0.500 0.500

Values from the calculation:
- total DFT energy (no corrections) (eV/atom) = -2.182
- energy of formation from the pure elements (eV/f.u.) = 0.79
- ΔE to the lowest computed polymorph (meV/atom) = 276.9


Record 11
VASP calculation (PBE) on crystalline ZrAgB at its relaxed geometry.

Unit cell a=9.177 b=3.093 c=6.836 alpha=90.00 beta=94.95 gamma=90.00
Atoms (fractional coordinates):
Zr: 0.000 0.000 0.000
Zr: 0.221 0.000 0.646
Zr: 0.500 0.500 0.000
Zr: 0.721 0.500 0.646
Ag: 0.241 0.500 0.268
Ag: 0.478 0.000 0.442
Ag: 0.741 0.000 0.268
Ag: 0.978 0.500 0.442
B: 0.228 0.500 0.924
B: 0.291 0.000 0.991
B: 0.728 0.000 0.924
B: 0.791 0.500 0.991

Values from the calculation:
- total DFT energy (no corrections) (eV/atom) = -6.182
- energy of formation from the pure elements (eV/f.u.) = -0.47